Compound: Li2AgPd
Source: the Alexandria database
Functional: PBE-GGA
Structure: optimized geometry

The structure in POSCAR format:
```
Li2AgPd
1.0
-2.152 1.628 3.562
-1.562 -4.927 1.297
3.413 -2.538 3.210
Pd Ag Li
2 2 4
Cartesian
-0.015 -5.235 6.574 Pd
-0.286 -0.602 1.495 Pd
-0.939 -1.507 4.322 Ag
0.638 -4.329 3.747 Ag
0.819 -2.754 5.939 Li
1.464 -1.842 3.124 Li
-1.120 -3.083 2.130 Li
-1.765 -3.994 4.945 Li
```

Values from the calculation:
The volume comes out at 14.54 Å³/atom. The energy above the most stable polymorph in this dataset comes out at 7 meV/atom. The crystal system is monoclinic.

=====

Compound: LiAgPd2
Source: the Alexandria database
Functional: PBE-GGA
Structure: optimized geometry

The structure in POSCAR format:
```
LiAgPd2
1.0
-2.546 3.003 0.794
-2.237 -2.451 2.096
2.051 0.886 3.226
Li Pd Ag
1 2 1
Cartesian
-1.366 0.720 3.058 Li
-1.119 -1.225 1.048 Pd
1.026 0.443 1.613 Pd
-1.273 1.502 0.397 Ag
```

Values from the calculation:
The volume comes out at 15.47 Å³/atom. The energy above the most stable polymorph in this dataset comes out at 0 meV/atom. The crystal system is tetragonal.

=====

Compound: Li3Ag4Pd
Source: the Alexandria database
Functional: PBE-GGA
Structure: optimized geometry

The structure in POSCAR format:
```
Li3Ag4Pd
1.0
2.940 0.000 0.000
0.000 4.871 -0.581
-1.470 -3.216 9.542
Li Pd Ag
3 1 4
Cartesian
1.470 2.046 4.316 Li
0.000 2.436 -0.291 Li
0.000 -0.391 4.645 Li
1.470 0.000 0.000 Pd
0.000 1.059 2.195 Ag
1.470 0.596 6.766 Ag
1.470 3.498 1.935 Ag
0.000 -1.843 7.026 Ag
```

Values from the calculation:
The volume comes out at 16.40 Å³/atom. The energy above the most stable polymorph in this dataset comes out at 41 meV/atom. The crystal system is monoclinic.

=====

Compound: Li2Ag2Pd15
Source: the Alexandria database
Functional: PBE-GGA
Structure: optimized geometry

The structure in POSCAR format:
```
Li2Ag2Pd15
1.0
-2.855 5.437 3.173
1.852 -1.543 6.478
5.631 3.988 0.402
Pd Ag Li
15 2 2
Cartesian
-1.317 3.155 4.253 Pd
4.356 4.639 3.593 Pd
2.481 1.894 6.607 Pd
-1.428 2.718 1.586 Pd
-0.081 4.963 2.267 Pd
0.313 0.738 5.398 Pd
2.857 4.462 1.308 Pd
0.145 5.358 4.968 Pd
0.926 -0.772 3.239 Pd
2.816 1.994 0.201 Pd
4.482 2.524 5.086 Pd
4.396 2.180 2.388 Pd
2.147 5.987 3.446 Pd
3.087 0.265 4.492 Pd
0.272 3.243 6.461 Pd
2.901 4.941 6.303 Ag
1.726 2.940 3.750 Ag
4.129 7.031 8.969 Li
0.499 0.850 1.084 Li
```

Values from the calculation:
The volume comes out at 16.89 Å³/atom. The crystal system is trigonal.

=====

Compound: Li4AgPd5
Source: the Alexandria database
Functional: PBE-GGA
Structure: optimized geometry

The structure in POSCAR format:
```
Li4AgPd5
1.0
-1.084 1.038 2.554
1.569 -2.023 1.489
12.169 10.190 1.022
Ag Pd Li
1 5 4
Cartesian
0.000 0.000 0.000 Ag
6.327 4.603 2.533 Pd
10.937 8.463 2.920 Pd
1.717 0.742 2.145 Pd
4.021 2.671 2.339 Pd
8.633 6.534 2.726 Pd
9.553 8.000 0.803 Li
7.238 6.062 0.608 Li
4.930 4.129 0.414 Li
2.615 2.190 0.220 Li
```

Values from the calculation:
The volume comes out at 13.96 Å³/atom. The crystal system is tetragonal.

=====

Compound: LiAgPd6
Source: the Alexandria database
Functional: PBE-GGA
Structure: optimized geometry

The structure in POSCAR format:
```
LiAgPd6
1.0
-1.634 1.841 3.896
0.884 -4.809 2.644
3.995 3.862 -0.150
Pd Ag Li
6 1 1
Cartesian
2.331 -1.231 4.285 Pd
-0.119 -0.756 3.033 Pd
1.732 1.214 0.153 Pd
4.188 0.737 1.408 Pd
0.325 -3.169 4.360 Pd
2.177 -1.206 1.483 Pd
1.882 1.171 2.962 Ag
3.735 3.138 0.084 Li
```

Values from the calculation:
The volume comes out at 15.42 Å³/atom. The energy above the most stable polymorph in this dataset comes out at 9 meV/atom. The crystal system is hexagonal.

=====

Compound: Li6Ag5Pd
Source: the Alexandria database
Functional: PBE-GGA
Structure: optimized geometry

The structure in POSCAR format:
```
Li6Ag5Pd
1.0
5.079 0.043 0.000
1.459 8.804 0.000
0.729 4.402 4.343
Pd Li Ag
1 6 5
Cartesian
0.000 0.000 0.000 Pd
2.349 6.660 1.411 Li
4.189 2.187 1.411 Li
3.078 11.062 2.933 Li
4.918 6.589 2.933 Li
4.951 6.697 0.000 Li
1.587 2.150 0.000 Li
1.459 8.804 2.886 Ag
3.269 4.424 0.000 Ag
0.729 4.402 1.457 Ag
3.998 8.826 1.443 Ag
3.269 4.424 2.900 Ag
```

Values from the calculation:
The volume comes out at 16.16 Å³/atom. The energy above the most stable polymorph in this dataset comes out at 53 meV/atom. The crystal system is monoclinic.

=====

Compound: Li5AgPd
Source: the Alexandria database
Functional: PBE-GGA
Structure: optimized geometry

The structure in POSCAR format:
```
Li5AgPd
1.0
4.179 0.699 0.000
-0.699 4.179 0.000
0.000 0.000 6.691
Li Ag Pd
5 1 1
Cartesian
3.830 2.789 1.650 Li
-0.349 2.090 5.041 Li
1.391 4.529 1.650 Li
0.000 0.000 3.346 Li
2.090 0.350 5.041 Li
0.000 0.000 0.000 Ag
1.740 2.439 3.345 Pd
```

Values from the calculation:
The volume comes out at 17.16 Å³/atom. The energy above the most stable polymorph in this dataset comes out at 7 meV/atom. The crystal system is tetragonal.

=====

Compound: Li5AgPd3
Source: the Alexandria database
Functional: PBE-GGA
Structure: optimized geometry

The structure in POSCAR format:
```
Li5AgPd3
1.0
5.264 0.000 0.000
0.000 7.562 0.000
0.000 -3.781 6.548
Li Ag Pd
10 2 6
Cartesian
1.316 1.182 2.046 Li
2.632 3.781 2.183 Li
3.948 -1.182 2.046 Li
3.948 2.600 4.502 Li
2.632 0.000 4.365 Li
0.000 3.781 2.183 Li
3.948 2.363 0.000 Li
1.316 4.963 4.502 Li
1.316 5.199 0.000 Li
0.000 0.000 4.365 Li
0.000 0.000 0.000 Ag
2.632 0.000 0.000 Ag
3.948 5.130 4.212 Pd
1.316 2.433 4.212 Pd
3.948 4.865 0.000 Pd
3.948 1.348 2.335 Pd
1.316 2.698 0.000 Pd
1.316 -1.348 2.335 Pd
```

Values from the calculation:
The volume comes out at 14.48 Å³/atom. The energy above the most stable polymorph in this dataset comes out at 0 meV/atom. The crystal system is hexagonal.

=====

Compound: Li5Ag2Pd2
Source: the Alexandria database
Functional: PBE-GGA
Structure: optimized geometry

The structure in POSCAR format:
```
Li5Ag2Pd2
1.0
2.790 0.000 -0.575
0.131 7.587 0.635
0.029 0.998 7.190
Ag Li Pd
2 5 2
Cartesian
2.454 7.473 4.848 Ag
0.495 1.112 2.402 Ag
0.977 2.385 4.738 Li
1.972 6.200 2.511 Li
2.566 4.843 5.390 Li
0.000 0.000 0.000 Li
0.383 3.741 1.859 Li
1.444 2.227 -0.053 Pd
1.506 6.358 7.303 Pd
```

Values from the calculation:
The volume comes out at 16.72 Å³/atom. The energy above the most stable polymorph in this dataset comes out at 0 meV/atom. The crystal system is monoclinic.

=====

Compound: Li6AgPd8
Source: the Alexandria database
Functional: PBE-GGA
Structure: optimized geometry

The structure in POSCAR format:
```
Li6AgPd8
1.0
-6.638 1.024 0.766
-4.238 -4.412 -2.876
-3.409 -4.213 4.041
Li Pd Ag
6 8 1
Cartesian
-3.596 -3.477 -0.416 Li
-4.939 -0.883 -0.139 Li
-9.347 -6.719 2.069 Li
-3.890 -2.252 2.234 Li
-10.396 -5.350 -0.304 Li
-10.690 -4.125 2.346 Li
-7.928 -1.371 0.449 Pd
-8.242 -3.413 -1.364 Pd
-6.044 -4.189 3.295 Pd
-6.125 -5.133 -1.028 Pd
-6.359 -6.231 1.481 Pd
-5.956 -3.169 0.805 Pd
-8.161 -2.468 2.958 Pd
-8.331 -4.433 1.126 Pd
0.000 0.000 0.000 Ag
```

Values from the calculation:
The volume comes out at 15.24 Å³/atom. The energy above the most stable polymorph in this dataset comes out at 0 meV/atom. The crystal system is trigonal.

=====

Compound: Li12Ag6Pd
Source: the Alexandria database
Functional: PBE-GGA
Structure: optimized geometry

The structure in POSCAR format:
```
Li12Ag6Pd
1.0
-3.236 -6.091 -0.311
2.956 -1.108 -6.141
5.372 -2.871 3.252
Li Ag Pd
12 6 1
Cartesian
3.826 -5.055 -3.347 Li
2.786 -8.696 -3.505 Li
1.266 -5.015 0.147 Li
2.306 -1.374 0.305 Li
0.764 -1.355 -2.209 Li
3.883 -6.022 -0.212 Li
-0.338 -2.674 0.187 Li
3.797 -3.340 -1.100 Li
5.430 -7.396 -3.387 Li
1.295 -6.731 -2.100 Li
1.209 -4.048 -2.988 Li
4.328 -8.715 -0.991 Li
1.852 -7.762 0.398 Ag
3.240 -2.308 -3.598 Ag
5.997 -5.009 -1.669 Ag
1.736 -6.184 -4.753 Ag
-0.905 -5.061 -1.531 Ag
3.356 -3.887 1.552 Ag
0.000 0.000 0.000 Pd
```

Values from the calculation:
The volume comes out at 17.32 Å³/atom. The crystal system is trigonal.

=====

| no. | Fermi-level density of states (states/eV per atom) | energy of formation from the pure elements (eV/atom) |
| --- | --- | --- |
| 1 | 0.16 | -0.327 |
| 2 | 0.41 | -0.241 |
| 3 | 0.31 | -0.169 |
| 4 | 1.07 | 0.034 |
| 5 | 0.49 | -0.336 |
| 6 | 1.11 | -0.110 |
| 7 | 0.29 | -0.199 |
| 8 | 0.46 | -0.160 |
| 9 | 0.37 | -0.305 |
| 10 | 0.30 | -0.241 |
| 11 | 0.62 | -0.270 |
| 12 | 0.45 | -0.176 |